Computed, not measured: a relaxed structure of TeMoAs2Pd at the PBE level of DFT.

Geometry as CIF:
```
data_TeMoAs2Pd
_chemical_formula_sum 'Te1 Mo1 As2 Pd1'
_symmetry_space_group_name_H-M 'P 4/m m m'
_symmetry_Int_Tables_number 123
_symmetry_space_group_name_Hall '-P 4 2'
_cell_length_a 4.7874
_cell_length_b 4.7874
_cell_length_c 5.1923
_cell_angle_alpha 90.00
_cell_angle_beta 90.00
_cell_angle_gamma 90.00
loop_
_atom_site_label
_atom_site_type_symbol
_atom_site_fract_x
_atom_site_fract_y
_atom_site_fract_z
Te1 Te 0.0000 0.0000 0.0000
Mo1 Mo 0.5000 0.5000 0.5000
As1 As 0.0000 0.5000 0.5000
Pd1 Pd 0.5000 0.5000 0.0000
```

Output
Raw formation energy in eV/atom: 0.59
Total magnetization in μB/f.u.: 0.00